The following is a DFT calculation (PBE-GGA) of a relaxed Na2TiReO6 crystal.

Lattice parameters (Å, degrees): 5.4984 5.4984 3.8622 90.00 90.00 90.00
Fractional coordinates of all 10 atoms:
1 Na 0.0000 0.5000 0.0000
2 Na 0.5000 0.0000 0.0000
3 Ti 0.0000 0.0000 0.5000
4 Re 0.5000 0.5000 0.5000
5 O 0.0000 0.0000 0.0000
6 O 0.2555 0.2555 0.5000
7 O 0.2555 0.7445 0.5000
8 O 0.5000 0.5000 0.0000
9 O 0.7445 0.2555 0.5000
10 O 0.7445 0.7445 0.5000

## Properties
* raw formation energy: -2.106 eV per atom
* VASP energy: -7.379 eV/atom

---

The following is a DFT calculation (PBE-GGA) of a relaxed K3RbNa6 crystal.

Lattice parameters (Å, degrees): 11.6312 6.6088 14.3764 90.00 111.18 90.00
Fractional coordinates of all 20 atoms:
1 K 0.0713 0.2500 0.2307
2 K 0.2997 0.2500 0.0412
3 K 0.3143 0.7500 0.3530
4 K 0.6857 0.2500 0.6470
5 K 0.7003 0.7500 0.9588
6 K 0.9287 0.7500 0.7693
7 Rb 0.1279 0.7500 0.5685
8 Rb 0.8721 0.2500 0.4315
9 Na 0.0948 0.7500 0.0593
10 Na 0.1295 0.2500 0.7526
11 Na 0.3252 0.2500 0.5381
12 Na 0.3278 0.7500 0.8814
13 Na 0.4722 0.2500 0.8228
14 Na 0.4999 0.2500 0.3319
15 Na 0.5001 0.7500 0.6681
16 Na 0.5278 0.7500 0.1772
17 Na 0.6722 0.2500 0.1186
18 Na 0.6748 0.7500 0.4619
19 Na 0.8705 0.7500 0.2474
20 Na 0.9052 0.2500 0.9407

## Properties
* ΔH_f (0 K): 0.04 eV/atom
* VASP energy: -1.182 eV/atom

---

The following is a DFT calculation (PBE-GGA) of a relaxed CeHoFeOs crystal.

Lattice parameters (Å, degrees): 4.8278 4.8278 4.8278 60.00 60.00 60.00
Fractional coordinates of all 4 atoms:
1 Ce 0.0000 0.0000 0.0000
2 Ho 0.5000 0.5000 0.5000
3 Fe 0.7500 0.7500 0.7500
4 Os 0.2500 0.2500 0.2500

## Properties
* ΔH_f (0 K): -0.04 eV/atom
* VASP energy: -7.587 eV/atom

---

The following is a DFT calculation (PBE-GGA) of a relaxed TbAg5 crystal.

Lattice parameters (Å, degrees): 6.5806 6.5806 4.3563 90.00 90.00 140.51
Fractional coordinates of all 6 atoms:
1 Tb 0.0000 0.0000 0.0000
2 Ag 0.1732 0.8268 0.5000
3 Ag 0.3292 0.6708 0.0000
4 Ag 0.5000 0.5000 0.5000
5 Ag 0.6708 0.3292 0.0000
6 Ag 0.8268 0.1732 0.5000

## Properties
* ΔH_f (0 K): -0.08 eV/atom
* VASP energy: -3.230 eV/atom